! meta-GGA SCAN Li2TlCo, single point on PBEsol structure; values from VASP
! - SG = P4mm, No. 99
&SYSTEM
  ibrav = 0, nat = 4, ntyp = 3
/
ATOMIC_SPECIES
Li 6.94 Li.upf
Tl 204.38 Tl.upf
Co 58.93 Co.upf
CELL_PARAMETERS angstrom
3.2077 0.0000 0.0000
0.0000 3.2077 0.0000
0.0000 0.0000 5.9941
ATOMIC_POSITIONS crystal
Li 0.0000 0.0000 0.0000
Li 0.5000 0.5000 0.2574
Tl 0.0000 0.0000 0.5460
Co 0.5000 0.5000 0.7848


! meta-GGA SCAN Li2TlCo, single point on PBEsol structure; values from VASP
! - SG = C2/m, No. 12
&SYSTEM
  ibrav = 0, nat = 8, ntyp = 3
/
ATOMIC_SPECIES
Li 6.94 Li.upf
Tl 204.38 Tl.upf
Co 58.93 Co.upf
CELL_PARAMETERS angstrom
5.2495 0.0000 0.0000
0.0000 9.3088 0.0000
-1.3789 0.0000 2.5433
ATOMIC_POSITIONS crystal
Li 0.2500 0.2500 0.0000
Li 0.2500 0.7500 0.0000
Li 0.7500 0.2500 0.0000
Li 0.7500 0.7500 0.0000
Tl 0.0000 0.0000 0.5000
Tl 0.5000 0.5000 0.5000
Co 0.0000 0.5000 0.5000
Co 0.5000 0.0000 0.5000


! meta-GGA SCAN LiCo2W, single point on PBEsol structure; values from VASP
! - SG = F-43m, No. 216
&SYSTEM
  ibrav = 0, nat = 16, ntyp = 3
/
ATOMIC_SPECIES
Li 6.94 Li.upf
Co 58.93 Co.upf
W 183.84 W.upf
CELL_PARAMETERS angstrom
5.6808 0.0000 0.0000
0.0000 5.6808 0.0000
0.0000 0.0000 5.6808
ATOMIC_POSITIONS crystal
Li 0.0000 0.0000 0.0000
Li 0.0000 0.5000 0.5000
Li 0.5000 0.0000 0.5000
Li 0.5000 0.5000 0.0000
Co 0.0000 0.0000 0.5000
Co 0.0000 0.5000 0.0000
Co 0.2500 0.2500 0.2500
Co 0.2500 0.7500 0.7500
Co 0.5000 0.0000 0.0000
Co 0.5000 0.5000 0.5000
Co 0.7500 0.2500 0.7500
Co 0.7500 0.7500 0.2500
W 0.2500 0.2500 0.7500
W 0.2500 0.7500 0.2500
W 0.7500 0.2500 0.2500
W 0.7500 0.7500 0.7500


! meta-GGA SCAN LiCoW2, single point on PBEsol structure; values from VASP
! - SG = Pm, No. 6
! - ΔE to the lowest computed polymorph (meV per atom) = 0
&SYSTEM
  ibrav = 0, nat = 4, ntyp = 3
/
ATOMIC_SPECIES
Li 6.94 Li.upf
Co 58.93 Co.upf
W 183.84 W.upf
CELL_PARAMETERS angstrom
2.6108 0.0000 0.0000
0.0000 4.1896 0.0000
-0.6064 0.0000 4.7608
ATOMIC_POSITIONS crystal
Li 0.0000 0.0000 0.0000
Co 0.0690 0.5000 0.7289
W 0.4226 0.0000 0.5172
W 0.6416 0.5000 0.2100


! meta-GGA SCAN LiCoW2, single point on PBEsol structure; values from VASP
! - SG = Pmm2, No. 25
! - ΔE to the lowest computed polymorph (meV per atom) = 110
&SYSTEM
  ibrav = 0, nat = 4, ntyp = 3
/
ATOMIC_SPECIES
Li 6.94 Li.upf
Co 58.93 Co.upf
W 183.84 W.upf
CELL_PARAMETERS angstrom
2.6243 0.0000 0.0000
0.0000 3.7902 0.0000
0.0000 0.0000 5.3303
ATOMIC_POSITIONS crystal
Li 0.0000 0.0000 0.0000
Co 0.5000 0.5000 0.7813
W 0.0000 0.0000 0.5319
W 0.5000 0.5000 0.2394


! meta-GGA SCAN LiCoW2, single point on PBEsol structure; values from VASP
! - SG = Immm, No. 71
! - ΔE to the lowest computed polymorph (meV per atom) = 30
&SYSTEM
  ibrav = 0, nat = 8, ntyp = 3
/
ATOMIC_SPECIES
Li 6.94 Li.upf
Co 58.93 Co.upf
W 183.84 W.upf
CELL_PARAMETERS angstrom
2.9529 0.0000 0.0000
0.0000 4.2612 0.0000
0.0000 0.0000 8.5702
ATOMIC_POSITIONS crystal
Li 0.0000 0.0000 0.0000
Li 0.5000 0.5000 0.5000
Co 0.0000 0.0000 0.5000
Co 0.5000 0.5000 0.0000
W 0.0000 0.5000 0.2381
W 0.0000 0.5000 0.7619
W 0.5000 0.0000 0.2619
W 0.5000 0.0000 0.7381


no.,density of states at the Fermi level (states/eV/cell),E_form (eV/atom)
1,2.1,0.22
2,2.3,0.10
3,8.8,0.40
4,2.7,0.39
5,3.0,0.50
6,3.8,0.42